# 1
{"formula": "Cr2PtN", "functional": "PBE", "state": "relaxed", "e_form_raw_ev_per_atom": -0.320, "sg": "No. 160", "dos_at_fermi_per_ev_cell": 4.25, "lattice_angstrom": [[2.844, 0.000, 0.000], [1.422, 2.463, 0.000], [1.422, 0.821, 6.481]], "species": ["Cr", "Cr", "Pt", "N"], "fractional_positions": [[0.055, 0.055, 0.835], [0.278, 0.278, 0.166], [0.501, 0.501, 0.498], [0.666, 0.666, 0.001]]}



# 2
{"formula": "MgVBr3", "functional": "PBE", "state": "relaxed", "e_form_raw_ev_per_atom": -0.458, "sg": "No. 221", "dos_at_fermi_per_ev_cell": 2.65, "relative_energy_ev_per_atom": 0.0000, "lattice_angstrom": [[5.197, 0.000, 0.000], [0.000, 5.197, 0.000], [0.000, 0.000, 5.197]], "species": ["Mg", "Br", "Br", "Br", "V"], "fractional_positions": [[0.500, 0.500, 0.500], [0.000, 0.500, 0.000], [0.000, 0.000, 0.500], [0.500, 0.000, 0.000], [0.000, 0.000, 0.000]]}



# 3
{"formula": "ZnAgSn", "functional": "PBE", "state": "relaxed", "sg": "No. 156", "e_form_ev_per_atom": 0.1174, "dos_at_fermi_per_ev_cell": 1.09, "lattice_angstrom": [[3.355, 0.000, 0.000], [0.000, 4.650, 0.000], [0.000, -2.325, 4.027]], "species": ["Zn", "Sn", "Ag"], "fractional_positions": [[0.166, 0.333, 0.667], [0.667, 0.667, 0.333], [0.167, 0.000, 0.000]]}



# 4
{"formula": "HgPtSe2", "functional": "PBE", "state": "relaxed", "e_form_raw_ev_per_atom": 0.382, "sg": "No. 65", "dos_at_fermi_per_ev_cell": 3.04, "relative_energy_ev_per_atom": 0.6744, "lattice_angstrom": [[4.735, 0.030, 0.000], [-1.476, 4.499, 0.000], [0.000, 0.000, 3.803]], "species": ["Hg", "Pt", "Se", "Se"], "fractional_positions": [[0.500, 0.000, 0.500], [0.000, 0.500, 0.500], [0.000, 0.000, 0.000], [0.500, 0.500, 0.000]]}



# 5
{"formula": "ScIBr3", "functional": "PBE", "state": "relaxed", "e_form_raw_ev_per_atom": -1.247, "sg": "No. 12", "dos_at_fermi_per_ev_cell": 0.00, "relative_energy_ev_per_atom": 0.0905, "lattice_angstrom": [[-3.340, 8.607, 15.244], [-3.986, 5.344, 1.782], [-1.385, -6.317, -2.409]], "species": ["I", "I", "Sc", "Sc", "Br", "Br", "Br", "Br", "Br", "Br"], "fractional_positions": [[0.564, 0.021, 0.979], [0.436, 0.979, 0.021], [0.923, 0.944, 0.056], [0.077, 0.056, 0.944], [0.145, 0.789, 0.211], [0.855, 0.211, 0.789], [0.958, 0.380, 0.620], [0.042, 0.620, 0.380], [0.273, 0.923, 0.077], [0.727, 0.077, 0.923]]}



# 6
{"formula": "CdCuAs3", "functional": "PBE", "state": "relaxed", "sg": "No. 221", "e_form_ev_per_atom": 0.5400, "dos_at_fermi_per_ev_cell": 3.32, "relative_energy_ev_per_atom": 0.0000, "lattice_angstrom": [[-2.470, -3.058, 2.715], [0.358, -3.322, -3.415], [4.074, -1.562, 1.946]], "species": ["As", "As", "As", "Cu", "Cd"], "fractional_positions": [[0.000, 0.500, 0.000], [0.000, 0.000, 0.500], [0.500, 0.000, 0.000], [0.000, 0.000, 0.000], [0.500, 0.500, 0.500]]}



# 7
{"formula": "CoSiP2Au", "functional": "PBE", "state": "relaxed", "e_form_raw_ev_per_atom": 0.860, "sg": "No. 123", "dos_at_fermi_per_ev_cell": 3.22, "lattice_angstrom": [[-2.335, 3.385, -1.754], [1.228, -1.186, -3.924], [-3.590, -2.645, -0.324]], "species": ["Co", "Si", "Au", "P", "P"], "fractional_positions": [[0.000, 0.500, 0.000], [0.000, 0.000, 0.000], [0.500, 0.500, 0.500], [0.000, 0.000, 0.500], [0.500, 0.000, 0.000]]}



# 8
{"formula": "HoZrAgRh", "functional": "PBE", "state": "relaxed", "sg": "No. 216", "e_form_ev_per_atom": -0.4296, "dos_at_fermi_per_ev_cell": 3.43, "lattice_angstrom": [[4.862, 0.000, 0.000], [2.431, 4.210, 0.000], [2.431, 1.403, 3.969]], "species": ["Zr", "Rh", "Ho", "Ag"], "fractional_positions": [[0.500, 0.500, 0.500], [0.750, 0.750, 0.750], [0.000, 0.000, 0.000], [0.250, 0.250, 0.250]]}



# 9
{"formula": "Ce4In2Ga", "functional": "PBE", "state": "relaxed", "sg": "No. 65", "e_form_ev_per_atom": 0.2254, "dos_at_fermi_per_ev_cell": 21.99, "lattice_angstrom": [[5.536, 0.000, 0.000], [0.000, 6.190, 0.000], [0.000, -3.095, 5.774]], "species": ["Ce", "Ce", "Ce", "Ce", "In", "In", "Ga"], "fractional_positions": [[0.500, 0.884, 0.767], [0.000, 0.794, 0.588], [0.500, 0.116, 0.233], [0.000, 0.206, 0.412], [0.500, 0.377, 0.755], [0.500, 0.623, 0.245], [0.000, 0.500, 0.000]]}



# 10
{"formula": "KCuSeBr2", "functional": "PBE", "state": "relaxed", "e_form_raw_ev_per_atom": -0.554, "sg": "No. 123", "dos_at_fermi_per_ev_cell": 3.67, "relative_energy_ev_per_atom": 0.0000, "lattice_angstrom": [[-3.892, 3.575, -1.060], [-3.329, -4.022, -1.342], [-1.481, -0.277, 4.506]], "species": ["K", "Cu", "Se", "Br", "Br"], "fractional_positions": [[0.500, 0.500, 0.500], [0.000, 0.000, 0.000], [0.000, 0.000, 0.500], [0.000, 0.500, 0.000], [0.500, 0.000, 0.000]]}



# 11
{"formula": "Cs3Nd2ScTe6", "functional": "PBE", "state": "relaxed", "e_form_raw_ev_per_atom": -1.344, "sg": "No. 12", "lattice_angstrom": [[-6.311, 4.784, 0.506], [0.454, -5.368, -5.827], [-2.153, -5.777, 6.960]], "species": ["Cs", "Cs", "Cs", "Nd", "Nd", "Sc", "Te", "Te", "Te", "Te", "Te", "Te"], "fractional_positions": [[0.172, 0.828, 0.500], [0.828, 0.172, 0.500], [0.500, 0.500, 0.500], [0.334, 0.666, 0.000], [0.666, 0.334, 0.000], [0.000, 0.000, 0.000], [0.937, 0.622, 0.811], [0.749, 0.749, 0.191], [0.063, 0.378, 0.189], [0.622, 0.937, 0.811], [0.251, 0.251, 0.809], [0.378, 0.063, 0.189]]}



# 12
{"formula": "Pm3Dy4Hg4", "functional": "PBE", "state": "relaxed", "sg": "No. 71", "e_form_ev_per_atom": -0.2742, "dos_at_fermi_per_ev_cell": 8.39, "lattice_angstrom": [[4.945, 0.000, 0.000], [0.000, 7.938, 0.000], [-2.473, -3.969, 8.243]], "species": ["Pm", "Pm", "Pm", "Dy", "Dy", "Dy", "Dy", "Hg", "Hg", "Hg", "Hg"], "fractional_positions": [[0.110, 0.110, 0.220], [0.890, 0.890, 0.780], [0.000, 0.500, 0.000], [0.326, 0.114, 0.653], [0.674, 0.461, 0.347], [0.674, 0.886, 0.347], [0.326, 0.539, 0.653], [0.211, 0.711, 0.421], [0.789, 0.289, 0.579], [0.500, 0.807, 0.000], [0.500, 0.193, 0.000]]}



# 13
{"formula": "MgW2Br", "functional": "PBE", "state": "relaxed", "e_form_raw_ev_per_atom": 0.284, "sg": "No. 6", "dos_at_fermi_per_ev_cell": 1.98, "relative_energy_ev_per_atom": 0.0000, "lattice_angstrom": [[-0.199, 2.179, 2.320], [-3.125, -0.997, 0.668], [-0.069, -6.139, 5.759]], "species": ["Br", "Mg", "W", "W"], "fractional_positions": [[0.000, 0.169, 0.476], [0.500, 0.808, 0.796], [0.000, 0.100, 0.034], [0.500, 0.423, 0.194]]}



# 14
{"formula": "KSrTe2", "functional": "PBE", "state": "relaxed", "e_form_raw_ev_per_atom": -1.123, "sg": "No. 65", "dos_at_fermi_per_ev_cell": 0.07, "lattice_angstrom": [[-3.092, 3.540, -3.124], [-4.050, -2.396, 3.117], [0.487, 3.095, 3.018]], "species": ["K", "Sr", "Te", "Te"], "fractional_positions": [[0.500, 0.000, 0.500], [0.000, 0.500, 0.500], [0.000, 0.000, 0.000], [0.500, 0.500, 0.000]]}



# 15
{"formula": "Sm4Y5Th2", "functional": "PBE", "state": "relaxed", "sg": "No. 10", "e_form_ev_per_atom": 0.1469, "dos_at_fermi_per_ev_cell": 20.97, "relative_energy_ev_per_atom": 0.0000, "lattice_angstrom": [[-1.587, -1.715, -2.603], [0.596, -7.598, 4.642], [-10.467, 1.481, 5.404]], "species": ["Sm", "Sm", "Sm", "Sm", "Y", "Y", "Y", "Y", "Y", "Th", "Th"], "fractional_positions": [[0.500, 0.305, 0.546], [0.500, 0.843, 0.893], [0.500, 0.695, 0.454], [0.500, 0.157, 0.107], [0.000, 0.425, 0.288], [0.000, 0.801, 0.166], [0.000, 0.500, 0.000], [0.000, 0.199, 0.834], [0.000, 0.575, 0.712], [0.000, 0.960, 0.632], [0.000, 0.040, 0.368]]}



# 16
{"formula": "CaNiI2N", "functional": "PBE", "state": "relaxed", "e_form_raw_ev_per_atom": -0.088, "sg": "No. 123", "dos_at_fermi_per_ev_cell": 3.61, "relative_energy_ev_per_atom": 0.0000, "lattice_angstrom": [[-1.890, 3.214, 4.350], [-2.054, -4.689, 2.572], [3.146, -0.447, 1.697]], "species": ["I", "I", "Ni", "Ca", "N"], "fractional_positions": [[0.000, 0.500, 0.000], [0.500, 0.000, 0.000], [0.000, 0.000, 0.000], [0.500, 0.500, 0.500], [0.000, 0.000, 0.500]]}



# 17
{"formula": "Zn2Sn5Pd12", "functional": "PBE", "state": "relaxed", "sg": "No. 12", "e_form_ev_per_atom": -0.3320, "dos_at_fermi_per_ev_cell": 8.41, "lattice_angstrom": [[5.613, 0.000, 0.000], [-2.807, 8.610, -1.530], [0.000, -4.592, 8.275]], "species": ["Zn", "Zn", "Sn", "Sn", "Sn", "Sn", "Sn", "Pd", "Pd", "Pd", "Pd", "Pd", "Pd", "Pd", "Pd", "Pd", "Pd", "Pd", "Pd"], "fractional_positions": [[0.753, 0.000, 0.000], [0.247, 0.000, 0.000], [0.310, 0.620, 0.648], [0.332, 0.665, 0.181], [0.000, 0.000, 0.500], [0.668, 0.335, 0.819], [0.690, 0.380, 0.352], [0.999, 0.999, 0.224], [0.080, 0.657, 0.926], [0.577, 0.657, 0.926], [0.099, 0.697, 0.446], [0.598, 0.697, 0.446], [0.499, 0.998, 0.768], [0.501, 0.002, 0.232], [0.901, 0.303, 0.554], [0.402, 0.303, 0.554], [0.920, 0.343, 0.074], [0.423, 0.343, 0.074], [0.001, 0.001, 0.776]]}



# 18
{"formula": "K2TeRu", "functional": "PBE", "state": "relaxed", "e_form_raw_ev_per_atom": 0.535, "sg": "No. 123", "dos_at_fermi_per_ev_cell": 3.64, "lattice_angstrom": [[3.244, 0.000, 0.000], [0.000, 3.244, 0.000], [0.000, 0.000, 10.708]], "species": ["K", "K", "Ru", "Te"], "fractional_positions": [[0.000, 0.000, 0.013], [0.000, 0.000, 0.487], [0.500, 0.500, 0.250], [0.500, 0.500, 0.750]]}



# 19
{"formula": "ZnFeOs2", "functional": "PBE", "state": "relaxed", "sg": "No. 35", "e_form_ev_per_atom": 0.3703, "dos_at_fermi_per_ev_cell": 4.50, "lattice_angstrom": [[2.660, 0.006, 0.000], [-1.221, 2.363, 0.000], [0.000, 0.000, 8.911]], "species": ["Fe", "Os", "Os", "Zn"], "fractional_positions": [[0.500, 0.500, 0.749], [0.000, 0.000, 0.991], [0.500, 0.500, 0.251], [0.000, 0.000, 0.509]]}



# 20
{"formula": "Al2SnCl6O", "functional": "PBE", "state": "relaxed", "e_form_raw_ev_per_atom": -1.646, "sg": "No. 14", "dos_at_fermi_per_ev_cell": 0.00, "lattice_angstrom": [[-2.751, -9.176, 1.461], [9.416, -1.149, 1.996], [-2.294, 2.655, 12.352]], "species": ["Al", "Al", "Al", "Al", "Al", "Al", "Al", "Al", "Sn", "Sn", "Sn", "Sn", "Cl", "Cl", "Cl", "Cl", "Cl", "Cl", "Cl", "Cl", "Cl", "Cl", "Cl", "Cl", "Cl", "Cl", "Cl", "Cl", "Cl", "Cl", "Cl", "Cl", "Cl", "Cl", "Cl", "Cl", "O", "O", "O", "O"], "fractional_positions": [[0.654, 0.284, 0.101], [0.154, 0.784, 0.399], [0.380, 0.416, 0.008], [0.346, 0.716, 0.899], [0.620, 0.584, 0.992], [0.880, 0.916, 0.492], [0.846, 0.216, 0.601], [0.120, 0.084, 0.508], [0.992, 0.204, 0.974], [0.492, 0.704, 0.526], [0.008, 0.796, 0.026], [0.508, 0.296, 0.474], [0.857, 0.383, 0.144], [0.034, 0.682, 0.276], [0.019, 0.037, 0.131], [0.466, 0.818, 0.776], [0.481, 0.463, 0.631], [0.304, 0.864, 0.021], [0.696, 0.136, 0.979], [0.534, 0.182, 0.224], [0.804, 0.364, 0.479], [0.770, 0.578, 0.873], [0.692, 0.745, 0.100], [0.730, 0.922, 0.373], [0.808, 0.755, 0.600], [0.981, 0.963, 0.869], [0.192, 0.245, 0.400], [0.230, 0.422, 0.127], [0.357, 0.883, 0.356], [0.519, 0.537, 0.369], [0.308, 0.255, 0.900], [0.270, 0.078, 0.627], [0.196, 0.636, 0.521], [0.143, 0.617, 0.856], [0.966, 0.318, 0.724], [0.643, 0.117, 0.644], [0.440, 0.587, 0.954], [0.940, 0.087, 0.546], [0.060, 0.913, 0.454], [0.560, 0.413, 0.046]]}